Entry 1:
A plane-wave DFT calculation with PBE-GGA was carried out for a relaxed RbCd2Si2 crystal.

Properties
- size of the total moment (Bohr magnetons per cell) = 0.0
- mass density (g cm⁻³) = 5.0
- N(E_F) (states/eV per atom) = 0.36
- final energy (eV per formula unit) = -13.2
- polymorph energy (0 for the lowest one) (meV per atom) = 0

extended XYZ file:
```
5
Lattice="-2.956 -2.121 -3.055 -1.458 -2.929 3.444 -6.112 0.992 1.532" Properties=species:S:1:pos:R:3 pbc="T T T"
Cd -4.889 -2.230 2.586
Cd -5.638 -1.826 -0.664
Rb 0.000 0.000 0.000
Si -7.462 -2.304 1.434
Si -3.064 -1.753 0.488
```

Entry 2:
A plane-wave DFT calculation with PBE-GGA was carried out for a relaxed La2NbHg crystal.

Properties
- size of the total moment (Bohr magnetons per cell) = 2.5
- mass density (g cm⁻³) = 8.5
- N(E_F) (states/eV per atom) = 1.10
- final energy (eV per formula unit) = -18.8

extended XYZ file:
```
8
Lattice="8.400 0.000 0.000 0.000 8.400 0.000 4.200 4.200 3.160" Properties=species:S:1:pos:R:3 pbc="T T T"
Hg 8.400 4.200 1.580
Hg 0.000 0.000 0.000
Nb 4.200 8.400 1.580
Nb 4.200 4.200 0.000
La 10.500 10.299 2.370
La 2.300 6.300 0.790
La 6.099 2.100 0.790
La 6.300 6.500 2.370
```

Entry 3:
A plane-wave DFT calculation with PBE-GGA was carried out for a relaxed EuPuSb2 crystal.

Properties
- size of the total moment (Bohr magnetons per cell) = 12.5
- mass density (g cm⁻³) = 9.4
- N(E_F) (states/eV per atom) = 3.21
- final energy (eV per formula unit) = -35.7
- polymorph energy (0 for the lowest one) (meV per atom) = 39

extended XYZ file:
```
4
Lattice="-2.405 3.120 1.137 0.605 -0.969 3.938 5.335 4.048 0.176" Properties=species:S:1:pos:R:3 pbc="T T T"
Sb 4.068 3.087 0.134
Sb 1.267 0.962 0.042
Pu -0.900 1.076 2.537
Eu 1.767 3.100 2.625
```

Entry 4:
A plane-wave DFT calculation with PBE-GGA was carried out for a relaxed AlGaRe2O crystal.

Properties
- size of the total moment (Bohr magnetons per cell) = 0.0
- mass density (g cm⁻³) = 12.1
- N(E_F) (states/eV per atom) = 1.05
- final energy (eV per formula unit) = -35.4

extended XYZ file:
```
5
Lattice="4.324 0.000 0.000 0.000 3.572 0.000 0.000 0.000 4.324" Properties=species:S:1:pos:R:3 pbc="T T T"
Al 0.000 1.786 0.000
Ga 2.162 1.786 2.162
O 0.000 0.000 0.000
Re 0.000 0.000 2.162
Re 2.162 0.000 0.000
```

Entry 5:
A plane-wave DFT calculation with PBE-GGA was carried out for a relaxed TbHo2NpP4 crystal.

Properties
- size of the total moment (Bohr magnetons per cell) = 3.6
- mass density (g cm⁻³) = 7.9
- N(E_F) (states/eV per atom) = 1.27
- final energy (eV per formula unit) = -59.7

extended XYZ file:
```
8
Lattice="-3.015 2.598 -0.067 -3.442 -4.107 -4.351 -1.604 -1.694 6.491" Properties=species:S:1:pos:R:3 pbc="T T T"
P -5.278 -3.035 1.598
P -2.783 -0.168 0.475
P -2.965 -3.483 -1.638
P -2.081 -2.318 3.778
Np -3.229 -0.754 -2.209
Ho -2.523 -2.901 1.070
Ho -2.310 0.452 3.212
Tb 0.000 0.000 0.000
```

Entry 6:
A plane-wave DFT calculation with PBE-GGA was carried out for a relaxed MgCd2Pt crystal.

Properties
- size of the total moment (Bohr magnetons per cell) = 0.0
- mass density (g cm⁻³) = 9.7
- N(E_F) (states/eV per atom) = 0.31
- final energy (eV per formula unit) = -10.9

extended XYZ file:
```
4
Lattice="3.066 0.000 0.000 0.000 3.735 0.000 0.000 0.000 6.660" Properties=species:S:1:pos:R:3 pbc="T T T"
Mg 0.000 0.000 3.580
Cd 1.533 1.868 1.734
Cd 0.000 0.000 6.517
Pt 1.533 1.868 4.820
```

Entry 7:
A plane-wave DFT calculation with PBE-GGA was carried out for a relaxed BaLiMo2 crystal.

Properties
- size of the total moment (Bohr magnetons per cell) = 0.0
- mass density (g cm⁻³) = 6.8
- N(E_F) (states/eV per atom) = 1.14
- final energy (eV per formula unit) = -21.1
- polymorph energy (0 for the lowest one) (meV per atom) = 530

extended XYZ file:
```
4
Lattice="-0.470 -5.076 3.248 4.462 -3.958 0.978 -1.262 5.908 0.169" Properties=species:S:1:pos:R:3 pbc="T T T"
Mo 1.996 -4.517 2.113
Mo 0.000 0.000 0.000
Li 0.133 -1.842 2.765
Ba 2.598 -1.283 1.629
```

Entry 8:
A plane-wave DFT calculation with PBE-GGA was carried out for a relaxed PPbAu2 crystal.

Properties
- size of the total moment (Bohr magnetons per cell) = 0.0
- mass density (g cm⁻³) = 12.6
- N(E_F) (states/eV per atom) = 0.58
- final energy (eV per formula unit) = -14.5
- polymorph energy (0 for the lowest one) (meV per atom) = 295

extended XYZ file:
```
4
Lattice="4.101 0.000 0.000 0.000 4.103 0.000 0.000 0.000 4.954" Properties=species:S:1:pos:R:3 pbc="T T T"
P 2.051 0.000 2.477
Pb 0.000 2.051 2.477
Au 2.051 2.051 0.000
Au 0.000 0.000 0.000
```

Entry 9:
A plane-wave DFT calculation with PBE-GGA was carried out for a relaxed ZrNiBr3 crystal.

Properties
- size of the total moment (Bohr magnetons per cell) = 2.1
- mass density (g cm⁻³) = 5.5
- N(E_F) (states/eV per atom) = 1.19
- final energy (eV per formula unit) = -18.8
- polymorph energy (0 for the lowest one) (meV per atom) = 80

extended XYZ file:
```
5
Lattice="-3.212 0.142 3.685 0.575 -4.808 0.687 3.643 0.884 3.141" Properties=species:S:1:pos:R:3 pbc="T T T"
Br 0.288 -2.404 0.343
Br 1.822 0.442 1.571
Br -1.606 0.071 1.843
Zr 0.503 -1.891 3.757
Ni 0.000 0.000 0.000
```

Entry 10:
A plane-wave DFT calculation with PBE-GGA was carried out for a relaxed RbSi crystal.

Properties
- size of the total moment (Bohr magnetons per cell) = 0.0
- mass density (g cm⁻³) = 1.9
- final energy (eV per formula unit) = -5.9
- polymorph energy (0 for the lowest one) (meV per atom) = 303

extended XYZ file:
```
8
Lattice="4.985 0.000 0.000 0.000 9.155 0.000 -3.271 0.000 8.566" Properties=species:S:1:pos:R:3 pbc="T T T"
Si 0.002 0.000 7.817
Si 1.638 4.578 3.534
Si 0.076 4.578 5.031
Si 1.712 0.000 0.748
Rb -0.818 2.289 2.141
Rb -2.453 2.289 6.424
Rb -2.453 6.866 6.424
Rb -0.818 6.866 2.141
```

Entry 11:
A plane-wave DFT calculation with PBE-GGA was carried out for a relaxed Nd2ThZn6 crystal.

Properties
- size of the total moment (Bohr magnetons per cell) = 0.0
- mass density (g cm⁻³) = 7.8
- N(E_F) (states/eV per atom) = 1.05
- final energy (eV per formula unit) = -27.5

extended XYZ file:
```
9
Lattice="3.571 0.097 -0.149 -0.351 6.905 -3.918 0.335 -0.051 7.941" Properties=species:S:1:pos:R:3 pbc="T T T"
Th 0.000 0.000 0.000
Zn 1.779 2.338 1.270
Zn 1.776 4.614 2.604
Zn 2.003 2.303 6.559
Zn 1.658 6.919 1.296
Zn 1.896 0.032 2.578
Zn 1.886 4.598 5.257
Nd 3.448 4.683 -0.116
Nd 0.107 2.269 3.990
```

Entry 12:
A plane-wave DFT calculation with PBE-GGA was carried out for a relaxed NpVSb2 crystal.

Properties
- size of the total moment (Bohr magnetons per cell) = 4.7
- mass density (g cm⁻³) = 10.2
- N(E_F) (states/eV per atom) = 1.95
- final energy (eV per formula unit) = -30.2
- polymorph energy (0 for the lowest one) (meV per atom) = 0

extended XYZ file:
```
4
Lattice="-0.991 -3.137 0.668 -0.025 -0.691 -3.285 7.348 -2.232 0.413" Properties=species:S:1:pos:R:3 pbc="T T T"
Sb 1.528 -0.464 0.086
Sb 5.819 -1.768 0.327
V -0.508 -1.914 -1.309
Np 3.166 -3.030 -1.102
```

Entry 13:
A plane-wave DFT calculation with PBE-GGA was carried out for a relaxed MgCr3P crystal.

Properties
- size of the total moment (Bohr magnetons per cell) = 7.0
- mass density (g cm⁻³) = 4.2
- N(E_F) (states/eV per atom) = 0.48
- final energy (eV per formula unit) = -34.0

extended XYZ file:
```
5
Lattice="4.366 0.000 0.000 0.000 4.366 0.000 0.000 0.000 4.366" Properties=species:S:1:pos:R:3 pbc="T T T"
Cr 2.183 0.000 0.000
Cr 0.000 0.000 2.183
Cr 0.000 2.183 0.000
P 0.000 0.000 0.000
Mg 2.183 2.183 2.183
```

Entry 14:
A plane-wave DFT calculation with PBE-GGA was carried out for a relaxed Cr2Pt2Br crystal.

Properties
- size of the total moment (Bohr magnetons per cell) = 13.9
- mass density (g cm⁻³) = 11.0
- N(E_F) (states/eV per atom) = 0.93
- final energy (eV per formula unit) = -32.0
- polymorph energy (0 for the lowest one) (meV per atom) = 0

extended XYZ file:
```
10
Lattice="7.365 0.000 0.000 0.000 7.365 0.000 0.000 0.000 3.205" Properties=species:S:1:pos:R:3 pbc="T T T"
Pt 6.407 2.725 1.603
Pt 0.958 4.640 1.603
Pt 4.640 6.407 1.603
Pt 2.725 0.958 1.603
Cr 2.485 6.168 0.000
Cr 6.168 4.879 0.000
Cr 1.197 2.485 0.000
Cr 4.879 1.197 0.000
Br 0.000 0.000 0.000
Br 3.682 3.682 0.000
```

Entry 15:
A plane-wave DFT calculation with PBE-GGA was carried out for a relaxed NaTc2AgGe crystal.

Properties
- size of the total moment (Bohr magnetons per cell) = 4.3
- mass density (g cm⁻³) = 6.0
- N(E_F) (states/eV per atom) = 0.75
- final energy (eV per formula unit) = -24.3

extended XYZ file:
```
5
Lattice="4.751 0.000 0.000 0.000 4.921 0.000 0.000 0.000 4.751" Properties=species:S:1:pos:R:3 pbc="T T T"
Ag 0.000 2.461 0.000
Tc 0.000 0.000 2.375
Tc 2.375 0.000 0.000
Na 2.375 2.461 2.375
Ge 0.000 0.000 0.000
```

Entry 16:
A plane-wave DFT calculation with PBE-GGA was carried out for a relaxed Nb2Ir2Rh crystal.

Properties
- size of the total moment (Bohr magnetons per cell) = 0.0
- mass density (g cm⁻³) = 13.4
- N(E_F) (states/eV per atom) = 0.63
- final energy (eV per formula unit) = -47.0
- polymorph energy (0 for the lowest one) (meV per atom) = 101

extended XYZ file:
```
10
Lattice="-0.229 7.098 2.179 1.448 -2.096 6.979 2.964 0.260 -0.536" Properties=species:S:1:pos:R:3 pbc="T T T"
Ir 0.047 4.212 2.302
Ir 0.502 0.169 2.854
Ir 0.716 4.833 6.304
Ir 1.172 0.791 6.856
Nb 1.770 5.336 3.854
Nb 1.650 2.127 1.632
Nb 2.531 3.137 6.990
Nb 2.411 -0.073 4.768
Rh 0.609 2.501 4.579
Rh 0.000 0.000 0.000
```

Entry 17:
A plane-wave DFT calculation with PBE-GGA was carried out for a relaxed Ag2MoCl crystal.

Properties
- size of the total moment (Bohr magnetons per cell) = 3.7
- mass density (g cm⁻³) = 7.4
- N(E_F) (states/eV per atom) = 0.57
- final energy (eV per formula unit) = -15.5
- polymorph energy (0 for the lowest one) (meV per atom) = 612

extended XYZ file:
```
4
Lattice="-4.947 -1.489 -0.436 0.482 -2.468 2.957 -1.057 2.781 2.493" Properties=species:S:1:pos:R:3 pbc="T T T"
Ag -0.288 0.157 2.725
Ag 0.000 0.000 0.000
Mo -3.002 0.646 1.028
Cl -2.233 -1.978 1.260
```

Entry 18:
A plane-wave DFT calculation with PBE-GGA was carried out for a relaxed VCr2Os crystal.

Properties
- size of the total moment (Bohr magnetons per cell) = 0.0
- mass density (g cm⁻³) = 11.0
- N(E_F) (states/eV per atom) = 1.65
- final energy (eV per formula unit) = -39.1
- polymorph energy (0 for the lowest one) (meV per atom) = 202

extended XYZ file:
```
4
Lattice="4.019 0.000 0.000 0.000 3.599 0.000 0.000 0.000 3.599" Properties=species:S:1:pos:R:3 pbc="T T T"
V 2.009 1.800 1.800
Os 2.009 0.000 0.000
Cr 0.000 1.800 0.000
Cr 0.000 0.000 1.800
```

Entry 19:
A plane-wave DFT calculation with PBE-GGA was carried out for a relaxed ScNb2Sn2 crystal.

Properties
- size of the total moment (Bohr magnetons per cell) = 0.0
- mass density (g cm⁻³) = 7.5
- N(E_F) (states/eV per atom) = 0.56
- final energy (eV per formula unit) = -35.5
- polymorph energy (0 for the lowest one) (meV per atom) = 0

extended XYZ file:
```
10
Lattice="-4.277 4.541 -4.230 -3.546 -6.005 -2.860 -2.482 0.179 2.702" Properties=species:S:1:pos:R:3 pbc="T T T"
Sn -5.950 0.084 -5.471
Sn -1.874 -1.548 -1.619
Sn -4.606 -3.532 -3.997
Sn -3.218 2.069 -3.093
Nb -4.276 -3.149 -1.222
Nb -6.030 1.864 -3.166
Nb -3.262 0.660 -0.543
Nb -7.044 -1.944 -3.845
Sc -3.912 -0.732 -3.545
Sc 0.000 0.000 0.000
```

Entry 20:
A plane-wave DFT calculation with PBE-GGA was carried out for a relaxed SiPtPb2 crystal.

Properties
- size of the total moment (Bohr magnetons per cell) = 0.0
- mass density (g cm⁻³) = 11.8
- N(E_F) (states/eV per atom) = 0.41
- final energy (eV per formula unit) = -17.7

extended XYZ file:
```
4
Lattice="4.793 0.000 0.000 0.000 4.793 0.000 0.000 0.000 3.915" Properties=species:S:1:pos:R:3 pbc="T T T"
Pt 2.397 0.000 1.958
Si 0.000 2.397 1.958
Pb 2.397 2.397 0.000
Pb 0.000 0.000 0.000
```